VASP calculation (PBE-GGA) on a relaxed structure of LaCd2S2. Values from VASP.

* crystal system: tetragonal
* total magnetization: 0.0000 μB/atom
* raw total energy: -35.13 eV for the cell shown
* distance to the lowest polymorph of the same formula: 155.2 meV/atom
* raw formation energy: -511 meV/atom
* density of states at the Fermi level: 5.5 states/eV per cell

Geometry as Quantum ESPRESSO input:
```
&SYSTEM
  ibrav = 0, nat = 10, ntyp = 3
/
ATOMIC_SPECIES
Cd 112.41 Cd.upf
S 32.06 S.upf
La 138.91 La.upf
CELL_PARAMETERS angstrom
-2.1394 7.5721 -2.0662
-5.0273 0.3227 6.3879
2.7287 1.3385 2.0799
ATOMIC_POSITIONS angstrom
Cd -1.8715 4.6694 -0.5496
Cd -2.1905 0.9724 2.2481
Cd -4.9761 6.9224 2.0737
Cd -5.2951 3.2254 4.8713
S -0.3627 2.8052 1.9311
S -4.0753 6.4281 4.4705
S -1.6574 6.6057 1.1840
S -2.7805 2.6275 5.2176
La -3.5833 3.9474 2.1609
La 0.0000 0.0000 0.0000
```

***

VASP calculation (PBE-GGA) on a relaxed structure of La2CdS4. Values from VASP.

* crystal system: tetragonal
* total magnetization: 0.0000 μB/atom
* raw total energy: -77.87 eV for the cell shown
* raw formation energy: -1665 meV/atom
* density of states at the Fermi level: 0.0 states/eV per cell

Geometry as Quantum ESPRESSO input:
```
&SYSTEM
  ibrav = 0, nat = 14, ntyp = 3
/
ATOMIC_SPECIES
La 138.91 La.upf
S 32.06 S.upf
Cd 112.41 Cd.upf
CELL_PARAMETERS angstrom
-1.0473 -6.9182 2.8907
7.4147 0.7328 -1.3417
-2.3887 5.3153 4.8329
ATOMIC_POSITIONS angstrom
La -1.7571 1.2507 5.6640
La 3.8514 -3.3872 3.4066
La 1.7191 0.9707 3.3625
La 4.1439 -0.5744 0.3306
S -0.0535 3.2770 3.5486
S 0.7482 -0.2375 5.7331
S 1.1116 -5.3784 3.5136
S 3.6805 3.7181 3.0661
S 4.2642 -0.4059 3.7129
S -1.0990 0.3260 2.4711
S 5.6007 -2.9351 1.2254
S 1.6620 -1.8446 2.2566
Cd -0.1262 -2.3478 4.2490
Cd 0.0000 0.0000 0.0000
```

***

VASP calculation (PBE-GGA) on a relaxed structure of LaCdS3. Values from VASP.

* crystal system: cubic
* total magnetization: 0.0000 μB/atom
* raw total energy: -21.82 eV for the cell shown
* distance to the lowest polymorph of the same formula: 0.0 meV/atom
* raw formation energy: -718 meV/atom
* density of states at the Fermi level: 2.0 states/eV per cell

Geometry as Quantum ESPRESSO input:
```
&SYSTEM
  ibrav = 0, nat = 5, ntyp = 3
/
ATOMIC_SPECIES
S 32.06 S.upf
Cd 112.41 Cd.upf
La 138.91 La.upf
CELL_PARAMETERS angstrom
4.9203 0.0000 0.0000
0.0000 4.9203 0.0000
0.0000 0.0000 4.9203
ATOMIC_POSITIONS angstrom
S 0.0000 0.0000 2.4601
S 2.4601 0.0000 0.0000
S 0.0000 2.4601 0.0000
Cd 0.0000 0.0000 0.0000
La 2.4601 2.4601 2.4601
```

***

VASP calculation (PBE-GGA) on a relaxed structure of LaCd2S2. Values from VASP.

* crystal system: tetragonal
* total magnetization: 0.0000 μB/atom
* raw total energy: -18.34 eV for the cell shown
* distance to the lowest polymorph of the same formula: 0.0 meV/atom
* raw formation energy: -666 meV/atom
* density of states at the Fermi level: 3.9 states/eV per cell

Geometry as Quantum ESPRESSO input:
```
&SYSTEM
  ibrav = 0, nat = 5, ntyp = 3
/
ATOMIC_SPECIES
La 138.91 La.upf
Cd 112.41 Cd.upf
S 32.06 S.upf
CELL_PARAMETERS angstrom
-2.8230 2.8522 -3.0167
-1.9005 -4.1312 -2.1275
-5.7882 -0.6899 0.5867
ATOMIC_POSITIONS angstrom
La 0.0000 0.0000 0.0000
Cd -7.1756 -1.3151 -2.8836
Cd -3.3361 -0.6539 -1.6739
S -5.4865 0.7614 -2.5010
S -5.0252 -2.7303 -2.0564
```

***

VASP calculation (PBE-GGA) on a relaxed structure of LaCdS. Values from VASP.

* crystal system: trigonal
* total magnetization: 0.0000 μB/atom
* raw total energy: -27.67 eV for the cell shown
* raw formation energy: -1288 meV/atom
* density of states at the Fermi level: 1.7 states/eV per cell

Geometry as Quantum ESPRESSO input:
```
&SYSTEM
  ibrav = 0, nat = 6, ntyp = 3
/
ATOMIC_SPECIES
S 32.06 S.upf
Cd 112.41 Cd.upf
La 138.91 La.upf
CELL_PARAMETERS angstrom
-4.4852 1.6977 -1.0612
-3.8866 -2.9906 0.2754
-3.8117 1.5917 7.2902
ATOMIC_POSITIONS angstrom
S -2.9366 -0.1418 0.8177
S -9.2469 0.4407 5.6868
Cd -8.8839 -0.2783 3.0023
Cd -3.2996 0.5772 3.5022
La -5.8106 -0.4074 1.1732
La -6.3729 0.7062 5.3312
```

***

VASP calculation (PBE-GGA) on a relaxed structure of LaCdS3. Values from VASP.

* crystal system: cubic
* total magnetization: 0.2199 μB/atom
* raw total energy: -19.73 eV for the cell shown
* distance to the lowest polymorph of the same formula: 416.8 meV/atom
* raw formation energy: -302 meV/atom
* density of states at the Fermi level: 5.5 states/eV per cell

Geometry as Quantum ESPRESSO input:
```
&SYSTEM
  ibrav = 0, nat = 5, ntyp = 3
/
ATOMIC_SPECIES
S 32.06 S.upf
La 138.91 La.upf
Cd 112.41 Cd.upf
CELL_PARAMETERS angstrom
-2.3537 4.0487 -2.8541
-4.9035 -1.4561 1.9783
0.7027 3.4009 4.2448
ATOMIC_POSITIONS angstrom
S -2.4517 -0.7280 0.9891
S -1.1769 2.0243 -1.4271
S 0.3513 1.7004 2.1224
La 0.0000 0.0000 0.0000
Cd -3.2773 2.9967 1.6845
```

***

VASP calculation (PBE-GGA) on a relaxed structure of La2ScCdS. Values from VASP.

* crystal system: tetragonal
* total magnetization: 0.1706 μB/atom
* raw total energy: -23.12 eV for the cell shown
* distance to the lowest polymorph of the same formula: 420.4 meV/atom
* raw formation energy: -379 meV/atom
* density of states at the Fermi level: 6.0 states/eV per cell

Geometry as Quantum ESPRESSO input:
```
&SYSTEM
  ibrav = 0, nat = 5, ntyp = 4
/
ATOMIC_SPECIES
Cd 112.41 Cd.upf
S 32.06 S.upf
Sc 44.96 Sc.upf
La 138.91 La.upf
CELL_PARAMETERS angstrom
5.4873 0.0000 0.0000
0.0000 5.1769 0.0000
0.0000 0.0000 5.4873
ATOMIC_POSITIONS angstrom
Cd 0.0000 2.5884 0.0000
S 0.0000 0.0000 0.0000
Sc 2.7436 2.5884 2.7436
La 0.0000 0.0000 2.7436
La 2.7436 0.0000 0.0000
```

***

VASP calculation (PBE-GGA) on a relaxed structure of La2ScCdS. Values from VASP.

* crystal system: tetragonal
* total magnetization: 0.0000 μB/atom
* raw total energy: -25.23 eV for the cell shown
* distance to the lowest polymorph of the same formula: 0.0 meV/atom
* raw formation energy: -800 meV/atom
* density of states at the Fermi level: 5.6 states/eV per cell

Geometry as Quantum ESPRESSO input:
```
&SYSTEM
  ibrav = 0, nat = 5, ntyp = 4
/
ATOMIC_SPECIES
Sc 44.96 Sc.upf
Cd 112.41 Cd.upf
La 138.91 La.upf
S 32.06 S.upf
CELL_PARAMETERS angstrom
5.5632 0.0000 0.0000
0.0000 5.5632 0.0000
0.0000 0.0000 4.8293
ATOMIC_POSITIONS angstrom
Sc 0.0000 0.0000 2.4147
Cd 2.7816 2.7816 2.4147
La 0.0000 2.7816 0.0000
La 2.7816 0.0000 0.0000
S 0.0000 0.0000 0.0000
```

***

VASP calculation (PBE-GGA) on a relaxed structure of La6CdSi2S14. Values from VASP.

* crystal system: trigonal
* total magnetization: 0.0000 μB/atom
* raw total energy: -138.37 eV for the cell shown
* raw formation energy: -1707 meV/atom
* density of states at the Fermi level: 0.0 states/eV per cell

Geometry as Quantum ESPRESSO input:
```
&SYSTEM
  ibrav = 0, nat = 23, ntyp = 4
/
ATOMIC_SPECIES
La 138.91 La.upf
S 32.06 S.upf
Si 28.09 Si.upf
Cd 112.41 Cd.upf
CELL_PARAMETERS angstrom
-7.8786 -4.8029 4.8666
9.8570 -2.6170 2.1943
0.1349 4.0061 4.1720
ATOMIC_POSITIONS angstrom
La 5.4523 -0.6135 2.4004
La -4.9195 -1.8779 7.9990
La -1.3791 1.2741 4.8578
La 1.1249 -2.2680 4.1290
La 5.3584 -4.1782 5.8263
La 0.7028 -2.5763 8.4878
S -0.1054 -4.0766 6.0700
S -3.7013 0.0155 6.1677
S 3.0028 -0.0209 4.0792
S -2.1862 -2.7056 8.7316
S 3.9484 -3.2481 3.1866
S 1.0103 -1.1565 1.2640
S -1.5860 -1.3411 3.4911
S 2.9581 -6.0968 5.9448
S 0.2930 -0.4506 6.4862
S 0.0716 2.1264 2.2145
S 3.0409 -2.5037 6.4620
S 7.8763 -2.5048 2.3367
S 6.0012 -1.2866 5.1976
S -4.1004 -3.5814 5.7236
Si 0.0224 0.6668 0.6944
Si 4.0340 -0.7044 5.8356
Cd -1.8983 -2.0411 6.0932
```

***

VASP calculation (PBE-GGA) on a relaxed structure of La2TbCdS5. Values from VASP.

* crystal system: orthorhombic
* total magnetization: 0.0000 μB/atom
* raw total energy: -104.01 eV for the cell shown
* raw formation energy: -1774 meV/atom
* density of states at the Fermi level: 3.8 states/eV per cell

Geometry as Quantum ESPRESSO input:
```
&SYSTEM
  ibrav = 0, nat = 18, ntyp = 4
/
ATOMIC_SPECIES
S 32.06 S.upf
Tb 158.93 Tb.upf
La 138.91 La.upf
Cd 112.41 Cd.upf
CELL_PARAMETERS angstrom
4.0172 0.0000 0.0000
-2.0086 8.5291 0.0000
0.0000 0.0000 12.3275
ATOMIC_POSITIONS angstrom
S 0.0000 4.9039 8.1787
S 0.0000 5.3246 4.3608
S 2.0086 7.6816 7.0905
S 0.0000 6.1624 0.0187
S 2.0086 2.3667 6.1824
S 2.0086 3.2045 10.5246
S 2.0086 0.1118 3.3157
S 0.0000 0.8474 0.9268
S 0.0000 8.4173 9.4795
S 2.0086 3.6252 2.0150
Tb 2.0086 5.0631 6.2608
Tb 0.0000 3.4660 0.0970
La 2.0086 6.5545 2.3197
La 0.0000 2.3074 3.7376
La 0.0000 1.9745 8.4835
La 2.0086 6.2217 9.9014
Cd 0.0000 8.0354 5.6936
Cd 2.0086 0.4937 11.8574
```

***

Question: raw formation energy of number 10 (La2TbCdS5)?
Answer: -1774 meV/atom